Nd2CdPt: optimized geometry, PBE-GGA.

The calculation puts the total energy at -0.35351 Ry per atom. Its formation energy is -0.687 eV/atom. The space group is P4/mmm (123). The distance to the lowest polymorph of the same formula is 2 meV per atom. The theoretical density is 9.5 g cm⁻³.

a b c (Å): 3.7034 3.7034 7.5941
angles (deg): 90.00 90.00 90.00
Sites, in units of the cell vectors:
Nd1 0.0000 0.0000 0.2239
Nd2 0.0000 0.0000 0.7761
Cd1 0.5000 0.5000 0.5000
Pt1 0.5000 0.5000 0.0000


Nd8CdPt2: optimized geometry, PBE-GGA.

The calculation puts the total energy at -0.37059 Ry per atom. Its formation energy is -0.393 eV/atom. The space group is C2/m (12). The theoretical density is 8.0 g cm⁻³.

a b c (Å): 8.2597 8.2597 5.7478
angles (deg): 97.96 97.96 115.15
Sites, in units of the cell vectors:
Nd1 0.0812 0.3296 0.5727
Nd2 0.2463 0.7537 0.0000
Nd3 0.3296 0.0812 0.5727
Nd4 0.3924 0.3924 0.1918
Nd5 0.6076 0.6076 0.8082
Nd6 0.6704 0.9188 0.4273
Nd7 0.7537 0.2463 0.0000
Nd8 0.9188 0.6704 0.4273
Cd1 0.0000 0.0000 0.0000
Pt1 0.3007 0.6993 0.5000
Pt2 0.6993 0.3007 0.5000


Nd2CdPt: optimized geometry, PBE-GGA.

The calculation puts the total energy at -0.33122 Ry per atom. Its formation energy is -0.384 eV/atom. The space group is R-3m (166). The distance to the lowest polymorph of the same formula is 305 meV per atom. The theoretical density is 6.5 g cm⁻³.

a b c (Å): 10.0298 10.0298 10.0298
angles (deg): 24.38 24.38 24.38
Sites, in units of the cell vectors:
Nd1 0.1150 0.1150 0.1150
Nd2 0.8850 0.8850 0.8850
Cd1 0.0000 0.0000 0.0000
Pt1 0.5000 0.5000 0.5000


Nd6Cd5Pt: optimized geometry, PBE-GGA.

The calculation puts the total energy at -0.27288 Ry per atom. Its formation energy is -0.444 eV/atom. The space group is C2/m (12). The theoretical density is 8.1 g cm⁻³.

a b c (Å): 9.2986 9.2986 5.3479
angles (deg): 106.64 106.64 48.99
Sites, in units of the cell vectors:
Nd1 0.0779 0.6088 0.3436
Nd2 0.2278 0.7722 0.0000
Nd3 0.3912 0.9221 0.6564
Nd4 0.6088 0.0779 0.3436
Nd5 0.7722 0.2278 0.0000
Nd6 0.9221 0.3912 0.6564
Cd1 0.1864 0.1864 0.1861
Cd2 0.3322 0.3322 0.8327
Cd3 0.5000 0.5000 0.5000
Cd4 0.6678 0.6678 0.1673
Cd5 0.8136 0.8136 0.8139
Pt1 0.0000 0.0000 0.5000


NdPuCdPt: optimized geometry, PBE-GGA.

The calculation puts the total energy at -0.51086 Ry per atom. Its formation energy is -0.437 eV/atom. The space group is F-43m (216). The theoretical density is 11.6 g cm⁻³.

a b c (Å): 5.2026 5.2026 5.2026
angles (deg): 60.00 60.00 60.00
Sites, in units of the cell vectors:
Nd1 0.0000 0.0000 0.0000
Pu1 0.5000 0.5000 0.5000
Cd1 0.7500 0.7500 0.7500
Pt1 0.2500 0.2500 0.2500


NdCdPtRh: optimized geometry, PBE-GGA.

The calculation puts the total energy at -0.39243 Ry per atom. Its formation energy is -0.571 eV/atom. The space group is F-43m (216). The theoretical density is 11.5 g cm⁻³.

a b c (Å): 4.8370 4.8370 4.8370
angles (deg): 60.00 60.00 60.00
Sites, in units of the cell vectors:
Nd1 0.0000 0.0000 0.0000
Cd1 0.5000 0.5000 0.5000
Pt1 0.2500 0.2500 0.2500
Rh1 0.7500 0.7500 0.7500